Here is a relaxed structure of HfInBiPt2 from Alexandria via LeMat-Bulk. Energies are from PBE.

The structure in CIF format:
```
data_HfInBiPt2
_chemical_formula_sum 'Hf1 In1 Bi1 Pt2'
_symmetry_space_group_name_H-M 'P 4/m m m'
_symmetry_Int_Tables_number 123
_symmetry_space_group_name_Hall '-P 4 2'
_cell_length_a 5.0145
_cell_length_b 5.0145
_cell_length_c 5.6921
_cell_angle_alpha 90.00
_cell_angle_beta 90.00
_cell_angle_gamma 90.00
loop_
_atom_site_label
_atom_site_fract_x
_atom_site_fract_y
_atom_site_fract_z
Hf1 0.0000 0.0000 0.0000
In1 0.5000 0.5000 0.5000
Bi1 0.0000 0.0000 0.5000
Pt1 0.0000 0.5000 0.0000
```

Output
Energy of formation ... 42 kJ per mole of atoms